A relaxed ScNb2VO crystal, computed with PBE with a Hubbard U.

Values from the calculation:
The calculation puts the total moment at 0.1 μB per formula unit. The raw total energy is -8.18 eV/atom.

a = 4.2907 Å, b = 4.3225 Å, c = 4.2907 Å
α = 90.00°, β = 90.00°, γ = 90.00°
With the nearest neighbours (Å) after each atom.
Positions (direct):
Sc (0.0000, 0.5000, 0.0000)  2 O 2.16
V (0.5000, 0.5000, 0.5000)  4 Sc 3.03, 8 Nb 3.05
O (0.0000, 0.0000, 0.0000)  4 Nb 2.15, 2 Sc 2.16
Nb (0.0000, 0.0000, 0.5000)  2 O 2.15
Nb (0.5000, 0.0000, 0.0000)  2 O 2.15